Compound: VSiRu4
Source: Alexandria via LeMat-Bulk
Functional: PBE-GGA
Structure: relaxed

Properties
raw total energy	-8.504	eV/atom
formation energy from raw total energies	0.1032	eV/atom

Unit cell a=4.0134 b=4.0134 c=5.7116 alpha=90.00 beta=90.00 gamma=90.00
Closest atoms and distances in Å follow each position.
Space group P4/mmm (No. 123)
Inequivalent atoms, fractional coordinates:
V  0.0000  0.0000  0.0000 (multiplicity 1)  8 Ru 2.47
Si  0.5000  0.5000  0.5000 (multiplicity 1)  8 Ru 2.45
Ru  0.0000  0.5000  0.2534 (multiplicity 4)  2 Si 2.45, 2 V 2.47